# 1
A plane-wave DFT calculation with GGA-PBE was carried out for KInO2 after structural relaxation.

The theoretical density comes out at 5.0 Mg/m³. The uncorrected formation energy comes out at -1.52 eV per atom. For the total DFT energy (no corrections), the calculation gives -19.83 eV per cell.

abc: 3.324 3.324 6.395
angles: 90.08 90.08 60.03
Atoms (fractional coordinates):
K1 0.000 0.000 0.000
In1 0.000 0.000 0.500
O1 0.334 0.334 0.685
O2 0.666 0.666 0.315

***

# 2
A plane-wave DFT calculation with GGA-PBE was carried out for KInO after structural relaxation.

The theoretical density comes out at 4.1 Mg/m³. The uncorrected formation energy comes out at -1.03 eV per atom. For the total DFT energy (no corrections), the calculation gives -23.77 eV per cell.

abc: 6.874 6.874 6.041
angles: 96.39 96.39 29.18
Atoms (fractional coordinates):
K1 0.000 0.000 0.000
K2 0.696 0.696 0.589
In1 0.276 0.276 0.091
In2 0.431 0.431 0.505
O1 0.032 0.032 0.564
O2 0.359 0.359 0.809

***

# 3
A plane-wave DFT calculation with GGA-PBE was carried out for K8InO6 after structural relaxation.

The theoretical density comes out at 2.7 Mg/m³. The uncorrected formation energy comes out at -1.17 eV per atom. For the total DFT energy (no corrections), the calculation gives -117.49 eV per cell.

abc: 8.323 6.752 11.270
angles: 90.00 90.00 90.00
Atoms (fractional coordinates):
K1 0.000 0.056 0.149
K2 0.000 0.771 0.767
K3 0.203 0.432 0.000
K4 0.205 0.286 0.706
K5 0.214 0.058 0.424
K6 0.286 0.942 0.924
K7 0.295 0.714 0.206
K8 0.297 0.568 0.500
K9 0.500 0.229 0.267
K10 0.500 0.944 0.649
K11 0.703 0.568 0.500
K12 0.705 0.714 0.206
K13 0.714 0.942 0.924
K14 0.786 0.058 0.424
K15 0.795 0.286 0.706
K16 0.797 0.432 0.000
In1 0.000 0.450 0.329
In2 0.500 0.550 0.829
O1 0.000 0.156 0.882
O2 0.000 0.334 0.507
O3 0.000 0.751 0.007
O4 0.000 0.763 0.340
O5 0.204 0.337 0.239
O6 0.296 0.663 0.739
O7 0.500 0.237 0.840
O8 0.500 0.249 0.507
O9 0.500 0.666 0.007
O10 0.500 0.844 0.382
O11 0.704 0.663 0.739
O12 0.796 0.337 0.239

***

# 4
A plane-wave DFT calculation with GGA-PBE was carried out for KInO2 after structural relaxation.

The theoretical density comes out at 5.1 Mg/m³. The uncorrected formation energy comes out at -1.55 eV per atom. For the total DFT energy (no corrections), the calculation gives -19.94 eV per cell.

abc: 6.591 6.591 6.591
angles: 29.34 29.34 29.34
Atoms (fractional coordinates):
K1 0.000 0.000 0.000
In1 0.170 0.170 0.170
O1 0.566 0.566 0.566
O2 0.775 0.775 0.775

***

# 5
A plane-wave DFT calculation with GGA-PBE was carried out for K5In2O5 after structural relaxation.

The theoretical density comes out at 3.6 Mg/m³. The uncorrected formation energy comes out at -1.26 eV per atom. For the total DFT energy (no corrections), the calculation gives -50.93 eV per cell.

abc: 6.563 6.563 10.383
angles: 105.08 105.08 33.20
Atoms (fractional coordinates):
K1 0.000 0.000 0.000
K2 0.156 0.156 0.563
K3 0.257 0.257 0.870
K4 0.743 0.743 0.130
K5 0.844 0.844 0.437
In1 0.472 0.472 0.706
In2 0.528 0.528 0.294
O1 0.126 0.126 0.294
O2 0.391 0.391 0.126
O3 0.500 0.500 0.500
O4 0.609 0.609 0.874
O5 0.874 0.874 0.706

***

# 6
A plane-wave DFT calculation with GGA-PBE was carried out for KInO2 after structural relaxation.

The theoretical density comes out at 4.4 Mg/m³. The uncorrected formation energy comes out at -1.37 eV per atom. For the total DFT energy (no corrections), the calculation gives -38.48 eV per cell.

abc: 5.679 5.679 5.679
angles: 106.49 106.49 115.61
Atoms (fractional coordinates):
K1 0.250 0.250 0.000
K2 0.750 0.750 0.000
In1 0.250 0.750 0.500
In2 0.750 0.250 0.500
O1 0.154 0.654 0.809
O2 0.346 0.154 0.500
O3 0.654 0.846 0.500
O4 0.846 0.346 0.191

***

# 7
A plane-wave DFT calculation with GGA-PBE was carried out for KInO2 after structural relaxation.

The theoretical density comes out at 4.7 Mg/m³. The uncorrected formation energy comes out at -1.49 eV per atom. For the total DFT energy (no corrections), the calculation gives -78.87 eV per cell.

abc: 6.198 3.770 11.193
angles: 90.00 90.00 90.00
Atoms (fractional coordinates):
K1 0.080 0.250 0.129
K2 0.420 0.750 0.629
K3 0.580 0.250 0.371
K4 0.920 0.750 0.871
In1 0.070 0.750 0.379
In2 0.430 0.250 0.879
In3 0.570 0.750 0.121
In4 0.930 0.250 0.621
O1 0.161 0.250 0.464
O2 0.168 0.250 0.755
O3 0.332 0.750 0.255
O4 0.339 0.750 0.964
O5 0.661 0.250 0.036
O6 0.668 0.250 0.745
O7 0.832 0.750 0.245
O8 0.839 0.750 0.536

***

# 8
A plane-wave DFT calculation with GGA-PBE was carried out for KInO2 after structural relaxation.

The theoretical density comes out at 4.0 Mg/m³. The uncorrected formation energy comes out at -1.52 eV per atom. For the total DFT energy (no corrections), the calculation gives -79.33 eV per cell.

abc: 6.087 8.578 5.939
angles: 90.00 90.00 90.00
Atoms (fractional coordinates):
K1 0.047 0.123 0.000
K2 0.453 0.623 0.500
K3 0.547 0.377 0.000
K4 0.953 0.877 0.500
In1 0.052 0.626 0.980
In2 0.448 0.126 0.480
In3 0.552 0.874 0.980
In4 0.948 0.374 0.480
O1 0.028 0.584 0.633
O2 0.116 0.169 0.550
O3 0.384 0.669 0.050
O4 0.472 0.084 0.133
O5 0.528 0.916 0.633
O6 0.616 0.331 0.550
O7 0.884 0.831 0.050
O8 0.972 0.416 0.133

***

# 9
A plane-wave DFT calculation with GGA-PBE was carried out for KInO2 after structural relaxation.

The theoretical density comes out at 4.7 Mg/m³. The uncorrected formation energy comes out at -1.48 eV per atom. For the total DFT energy (no corrections), the calculation gives -19.68 eV per cell.

abc: 3.380 3.380 6.579
angles: 90.00 90.00 120.00
Atoms (fractional coordinates):
K1 0.000 0.000 0.000
In1 0.667 0.333 0.545
O1 0.000 0.000 0.387
O2 0.333 0.667 0.732

***

# 10
A plane-wave DFT calculation with GGA-PBE was carried out for KInO2 after structural relaxation.

The theoretical density comes out at 4.7 Mg/m³. The uncorrected formation energy comes out at -1.48 eV per atom. For the total DFT energy (no corrections), the calculation gives -78.61 eV per cell.

abc: 8.235 8.235 5.793
angles: 104.40 104.40 126.27
Atoms (fractional coordinates):
K1 0.064 0.936 0.750
K2 0.184 0.816 0.250
K3 0.816 0.184 0.750
K4 0.936 0.064 0.250
In1 0.343 0.657 0.750
In2 0.436 0.564 0.250
In3 0.564 0.436 0.750
In4 0.657 0.343 0.250
O1 0.148 0.497 0.327
O2 0.255 0.363 0.797
O3 0.363 0.255 0.297
O4 0.497 0.148 0.827
O5 0.503 0.852 0.173
O6 0.637 0.745 0.703
O7 0.745 0.637 0.203
O8 0.852 0.503 0.673

***

# 11
A plane-wave DFT calculation with GGA-PBE was carried out for KInO after structural relaxation.

The theoretical density comes out at 4.2 Mg/m³. The uncorrected formation energy comes out at -0.98 eV per atom. For the total DFT energy (no corrections), the calculation gives -23.48 eV per cell.

abc: 3.485 5.429 7.365
angles: 90.00 103.60 90.00
Atoms (fractional coordinates):
K1 0.083 0.250 0.163
K2 0.917 0.750 0.837
In1 0.319 0.250 0.638
In2 0.681 0.750 0.362
O1 0.279 0.750 0.558
O2 0.721 0.250 0.442

***

# 12
A plane-wave DFT calculation with GGA-PBE was carried out for K3InO3 after structural relaxation.

For the polymorph energy (0 for the lowest one), the calculation gives 0.136 eV/atom. The theoretical density comes out at 2.7 Mg/m³. The uncorrected formation energy comes out at -1.26 eV per atom. For the total DFT energy (no corrections), the calculation gives -59.51 eV per cell.

abc: 8.443 8.443 5.567
angles: 90.00 90.00 119.93
Atoms (fractional coordinates):
K1 0.166 0.834 0.750
K2 0.167 0.332 0.750
K3 0.332 0.167 0.250
K4 0.668 0.833 0.750
K5 0.833 0.668 0.250
K6 0.834 0.166 0.250
In1 0.333 0.667 0.250
In2 0.667 0.333 0.750
O1 0.194 0.806 0.250
O2 0.195 0.390 0.250
O3 0.390 0.195 0.750
O4 0.610 0.805 0.250
O5 0.805 0.610 0.750
O6 0.806 0.194 0.750

***

# 13
A plane-wave DFT calculation with GGA-PBE was carried out for K3In2O4 after structural relaxation.

The theoretical density comes out at 3.6 Mg/m³. The uncorrected formation energy comes out at -1.35 eV per atom. For the total DFT energy (no corrections), the calculation gives -81.44 eV per cell.

abc: 7.804 7.804 6.218
angles: 91.91 91.91 84.50
Atoms (fractional coordinates):
K1 0.075 0.925 0.750
K2 0.204 0.586 0.453
K3 0.414 0.796 0.047
K4 0.586 0.204 0.953
K5 0.796 0.414 0.547
K6 0.925 0.075 0.250
In1 0.135 0.348 0.930
In2 0.348 0.135 0.430
In3 0.652 0.865 0.570
In4 0.865 0.652 0.070
O1 0.132 0.260 0.597
O2 0.136 0.621 0.986
O3 0.260 0.132 0.097
O4 0.379 0.864 0.514
O5 0.621 0.136 0.486
O6 0.740 0.868 0.903
O7 0.864 0.379 0.014
O8 0.868 0.740 0.403

***

# 14
A plane-wave DFT calculation with GGA-PBE was carried out for KIn2OsO8 after structural relaxation.

The theoretical density comes out at 6.0 Mg/m³. The uncorrected formation energy comes out at -1.05 eV per atom. For the total DFT energy (no corrections), the calculation gives -70.12 eV per cell.

abc: 4.495 5.112 7.037
angles: 90.01 90.06 91.19
Atoms (fractional coordinates):
K1 0.000 0.000 0.000
In1 0.500 0.500 0.257
In2 0.500 0.500 0.743
Os1 0.000 0.000 0.500
O1 0.232 0.476 0.000
O2 0.235 0.855 0.315
O3 0.236 0.855 0.685
O4 0.251 0.318 0.500
O5 0.749 0.682 0.500
O6 0.764 0.145 0.315
O7 0.765 0.145 0.685
O8 0.768 0.524 0.000

***

# 15
A plane-wave DFT calculation with GGA-PBE was carried out for K2InOsO6 after structural relaxation.

The theoretical density comes out at 4.2 Mg/m³. The uncorrected formation energy comes out at -1.23 eV per atom. For the total DFT energy (no corrections), the calculation gives -58.17 eV per cell.

abc: 6.183 6.183 5.680
angles: 90.00 90.00 120.00
Atoms (fractional coordinates):
K1 0.333 0.667 0.129
K2 0.667 0.333 0.871
In1 0.000 0.000 0.500
Os1 0.000 0.000 0.000
O1 0.141 0.283 0.795
O2 0.141 0.859 0.795
O3 0.283 0.141 0.205
O4 0.717 0.859 0.795
O5 0.859 0.141 0.205
O6 0.859 0.717 0.205

***

# 16
A plane-wave DFT calculation with GGA-PBE was carried out for KInOsO6 after structural relaxation.

The theoretical density comes out at 4.7 Mg/m³. The uncorrected formation energy comes out at -1.19 eV per atom. For the total DFT energy (no corrections), the calculation gives -55.49 eV per cell.

abc: 5.556 5.556 5.778
angles: 90.00 90.00 120.00
Atoms (fractional coordinates):
K1 0.000 0.000 0.000
In1 0.333 0.667 0.500
Os1 0.667 0.333 0.500
O1 0.416 0.040 0.690
O2 0.416 0.376 0.310
O3 0.624 0.040 0.310
O4 0.624 0.584 0.690
O5 0.960 0.376 0.690
O6 0.960 0.584 0.310

***

# 17
A plane-wave DFT calculation with GGA-PBE was carried out for KInP2O8 after structural relaxation.

The theoretical density comes out at 3.0 Mg/m³. The uncorrected formation energy comes out at -1.80 eV per atom. For the total DFT energy (no corrections), the calculation gives -75.95 eV per cell.

abc: 5.284 5.284 7.878
angles: 90.00 90.00 120.00
Atoms (fractional coordinates):
K1 0.000 0.000 0.000
In1 0.000 0.000 0.500
P1 0.333 0.667 0.723
P2 0.667 0.333 0.277
O1 0.097 0.358 0.667
O2 0.262 0.903 0.667
O3 0.333 0.667 0.921
O4 0.358 0.262 0.333
O5 0.642 0.738 0.667
O6 0.667 0.333 0.079
O7 0.738 0.097 0.333
O8 0.903 0.642 0.333

***

# 18
A plane-wave DFT calculation with GGA-PBE was carried out for K3InP2O8 after structural relaxation.

For the polymorph energy (0 for the lowest one), the calculation gives 0.029 eV/atom. The theoretical density comes out at 3.3 Mg/m³. The uncorrected formation energy comes out at -2.15 eV per atom. For the total DFT energy (no corrections), the calculation gives -86.60 eV per cell.

abc: 5.556 5.556 7.858
angles: 90.00 90.00 120.00
Atoms (fractional coordinates):
K1 0.000 0.000 0.000
K2 0.333 0.667 0.745
K3 0.667 0.333 0.255
In1 0.000 0.000 0.500
P1 0.333 0.667 0.268
P2 0.667 0.333 0.732
O1 0.180 0.360 0.334
O2 0.180 0.820 0.334
O3 0.333 0.667 0.074
O4 0.360 0.180 0.666
O5 0.640 0.820 0.334
O6 0.667 0.333 0.926
O7 0.820 0.180 0.666
O8 0.820 0.640 0.666

***

# 19
A plane-wave DFT calculation with GGA-PBE was carried out for KInPO2 after structural relaxation.

For the polymorph energy (0 for the lowest one), the calculation gives 1.046 eV/atom. The theoretical density comes out at 2.8 Mg/m³. The uncorrected formation energy comes out at 0.83 eV per atom. For the total DFT energy (no corrections), the calculation gives -14.99 eV per cell.

abc: 4.559 4.559 6.243
angles: 90.00 90.00 90.00
Atoms (fractional coordinates):
K1 0.000 0.000 0.000
In1 0.500 0.500 0.500
P1 0.000 0.000 0.500
O1 0.000 0.500 0.000
O2 0.500 0.000 0.000

***

# 20
A plane-wave DFT calculation with GGA-PBE was carried out for K2InP2O6 after structural relaxation.

The theoretical density comes out at 3.3 Mg/m³. The uncorrected formation energy comes out at -1.93 eV per atom. For the total DFT energy (no corrections), the calculation gives -66.73 eV per cell.

abc: 5.910 5.910 6.859
angles: 117.30 117.30 58.77
Atoms (fractional coordinates):
K1 0.213 0.213 0.195
K2 0.787 0.787 0.805
In1 0.000 0.000 0.500
P1 0.462 0.462 0.815
P2 0.538 0.538 0.185
O1 0.243 0.689 0.216
O2 0.286 0.286 0.671
O3 0.311 0.757 0.784
O4 0.689 0.243 0.216
O5 0.714 0.714 0.329
O6 0.757 0.311 0.784